A relaxed structure of CsMoW2O8, computed with GGA+U.

Values from the calculation:
symmetry: P-3m1 (164)
crystal system: trigonal
total DFT energy (no corrections): -0.2619 Ha/atom

a b c (Å): 5.986 5.986 8.285
angles (deg): 90.00 90.00 120.00
Element x y z (fractional)
Cs1 0.000 0.000 0.000
Mo1 0.000 0.000 0.500
W1 0.333 0.667 0.719
W2 0.667 0.333 0.281
O1 0.166 0.331 0.652
O2 0.166 0.834 0.652
O3 0.331 0.166 0.348
O4 0.333 0.667 0.934
O5 0.667 0.333 0.066
O6 0.669 0.834 0.652
O7 0.834 0.166 0.348
O8 0.834 0.669 0.348